This record from Alexandria via LeMat-Bulk describes TcHgIO2 after structural relaxation. The functional is GGA-PBE.

POSCAR file:
```
TcHgIO2
1.0
4.204 0.000 0.000
0.000 4.204 0.000
0.000 0.000 6.490
Tc Hg I O
1 1 1 2
Cartesian
0.000 0.000 0.000
2.102 2.102 3.245
2.102 2.102 0.000
0.000 2.102 3.245
2.102 0.000 3.245
```

Magnetic moment, μB/atom: 1.036
Formation energy from raw total energies, eV per atom: 0.9430
E_tot, eV per atom: -3.48
Crystal system: tetragonal